First-principles (PBE) data for crystalline ZrSbPb at its relaxed geometry, as listed in Alexandria via LeMat-Bulk.

Values from the calculation:
Energy above the most stable polymorph in this dataset: 280 meV/atom
Crystal system: hexagonal
Formation energy (no corrections): -0.0279 eV per atom
Energy: -5.49 eV/atom
Space group: P-6m2, No. 187
Size of the total moment: 0.000 μB/atom

Cell: 5.205 5.205 3.297 Å, 90.00 90.00 120.00°
Fractional positions:
Pb (0.000, 0.000, 0.000)
Sb (0.667, 0.333, 0.500)
Zr (0.333, 0.667, 0.501)